A relaxed CuTc3 crystal, computed with GGA-PBE.

It has space group P6_3/mmc (No. 194), with a = 5.4076 Å, b = 5.4076 Å, c = 8.7903 Å, α = 90.00°, β = 90.00° and γ = 120.00°. Symmetry generates all atoms from Cu at (0.0000, 0.0000, 0.0000), Cu at (0.3333, 0.6667, 0.2500), Tc at (0.0000, 0.5000, 0.0000) and Tc at (0.1668, 0.3337, 0.7500).

As for the crystal system: hexagonal. For the formation energy, the calculation gives 0.16 eV/atom. The calculation puts the total magnetization at 0.00 Bohr magnetons per cell. The theoretical density comes out at 10.668 g cm⁻³.